A relaxed structure of Sr4TlGe. Source: the Alexandria database, functional PBE-GGA.

Cell lengths 9.0896, 9.0896, 6.7470 Å; angles 103.71, 103.71, 112.24 degrees
Fractional positions:
Sr (0.0545, 0.7079, 0.9259)
Sr (0.2261, 0.3596, 0.6907)
Sr (0.2921, 0.9455, 0.5741)
Sr (0.3596, 0.2261, 0.1907)
Sr (0.6404, 0.7739, 0.8093)
Sr (0.7079, 0.0545, 0.4259)
Sr (0.7739, 0.6404, 0.3093)
Sr (0.9455, 0.2921, 0.0741)
Tl (0.3657, 0.6343, 0.2500)
Tl (0.6343, 0.3657, 0.7500)
Ge (0.0031, 0.9969, 0.7500)
Ge (0.9969, 0.0031, 0.2500)

Calculated values
Symmetry ... C2/c, No. 15
Energy of formation from the pure elements ... -0.38 eV/atom